First-principles (GGA-PBE) data for an optimized crystal structure of CaGdHgPt, as listed in the Alexandria database.

Properties
- uncorrected energy (eV per atom) = -6.354
- magnetic moment (μB per formula unit) = 7.2
- formation enthalpy at 0 K (eV/atom) = -0.75
- D(E_F) (states/eV/cell) = 2.7

a b c (Å): 5.1237 5.1237 5.1237
angles (deg): 60.00 60.00 60.00
With the nearest neighbours (Å) after each atom.
Fractional positions:
Ca  0.0000  0.0000  0.0000  4 Hg 3.14, 4 Pt 3.14
Gd  0.5000  0.5000  0.5000  4 Hg 3.14, 4 Pt 3.14
Hg  0.2500  0.2500  0.2500  4 Gd 3.14, 4 Ca 3.14
Pt  0.7500  0.7500  0.7500  4 Gd 3.14, 4 Ca 3.14